# 1
VASP calculation (PBE-GGA) on TlP2SN after structural relaxation.

## Properties
Energy above the most stable polymorph in this dataset in meV/atom: 1268

The structure in CIF format:
```
data_TlP2SN
_symmetry_space_group_name_H-M 'P 1'
_symmetry_Int_Tables_number 1
_symmetry_space_group_name_Hall 'P 1'
_cell_length_a 5.2710
_cell_length_b 5.2710
_cell_length_c 5.2725
_cell_angle_alpha 90.00
_cell_angle_beta 90.00
_cell_angle_gamma 90.00
loop_
_atom_site_label
_atom_site_fract_x
_atom_site_fract_y
_atom_site_fract_z
Tl1 0.0000 0.0000 0.0000
P1 0.0000 0.5000 0.0000
P2 0.5000 0.0000 0.0000
S1 0.0000 0.0000 0.5000
N1 0.5000 0.5000 0.5000
```

# 2
VASP calculation (PBE-GGA) on TlPSN2 after structural relaxation.

## Properties
Energy above the most stable polymorph in this dataset in meV/atom: 1336

The structure in CIF format:
```
data_TlPSN2
_symmetry_space_group_name_H-M 'P 1'
_symmetry_Int_Tables_number 1
_symmetry_space_group_name_Hall 'P 1'
_cell_length_a 4.2539
_cell_length_b 4.2539
_cell_length_c 5.6667
_cell_angle_alpha 90.00
_cell_angle_beta 90.00
_cell_angle_gamma 90.00
loop_
_atom_site_label
_atom_site_fract_x
_atom_site_fract_y
_atom_site_fract_z
Tl1 0.0000 0.0000 0.0000
P1 0.5000 0.5000 0.5000
S1 0.0000 0.0000 0.5000
N1 0.0000 0.5000 0.0000
N2 0.5000 0.0000 0.0000
```

# 3
VASP calculation (PBE-GGA) on TlPS2N after structural relaxation.

## Properties
Energy above the most stable polymorph in this dataset in meV/atom: 0

The structure in CIF format:
```
data_TlPS2N
_symmetry_space_group_name_H-M 'P 1'
_symmetry_Int_Tables_number 1
_symmetry_space_group_name_Hall 'P 1'
_cell_length_a 4.8591
_cell_length_b 4.8591
_cell_length_c 3.4017
_cell_angle_alpha 90.00
_cell_angle_beta 90.00
_cell_angle_gamma 90.00
loop_
_atom_site_label
_atom_site_fract_x
_atom_site_fract_y
_atom_site_fract_z
Tl1 0.0000 0.0000 0.0000
P1 0.5000 0.5000 0.5000
S1 0.0000 0.5000 0.5000
S2 0.5000 0.0000 0.5000
N1 0.5000 0.5000 0.0000
```

no.,size of the total moment (μB per cell),calculated total energy (eV/atom),ΔE_f (raw) (eV per atom)
1,4.331,-2.83,2.301
2,1.849,-3.49,2.222
3,0.000,-4.41,0.460